[1]
## CdIn2Co (PBE-GGA)

Data for an optimized crystal structure of CdIn2Co.

Cell: 3.144 3.039 8.589 Å, 90.00 97.63 90.00°
Atoms (fractional coordinates):
Cd (0.000, 0.000, 0.000)
In (0.074, 0.500, 0.689)
In (0.926, 0.500, 0.311)
Co (0.500, 0.000, 0.500)


[2]
## Cd2InCo (PBE-GGA)

Data for an optimized crystal structure of Cd2InCo.

Cell: 6.849 6.849 6.849 Å, 155.44 141.39 46.30°
Atoms (fractional coordinates):
Cd (0.000, 0.000, 0.000)
Cd (0.673, 0.173, 0.500)
In (0.357, 0.357, 0.000)
Co (0.182, 0.682, 0.500)


[3]
## CdIn4Co (PBE-GGA)

Data for an optimized crystal structure of CdIn4Co.

Cell: 5.969 5.969 5.969 Å, 60.00 60.00 60.00°
Atoms (fractional coordinates):
Cd (0.000, 0.000, 0.000)
In (0.375, 0.375, 0.375)
In (0.375, 0.375, 0.874)
In (0.375, 0.874, 0.375)
In (0.874, 0.375, 0.375)
Co (0.750, 0.750, 0.750)


[4]
## CdInCo2 (PBE-GGA)

Data for an optimized crystal structure of CdInCo2.

Cell: 4.991 4.991 4.991 Å, 134.13 134.13 66.88°
Atoms (fractional coordinates):
Cd (0.000, 0.000, 0.000)
In (0.750, 0.250, 0.500)
Co (0.250, 0.750, 0.500)
Co (0.500, 0.500, 0.000)


[5]
## CdIn2Co (PBE-GGA)

Data for an optimized crystal structure of CdIn2Co.

Cell: 3.523 3.770 5.921 Å, 90.00 90.00 90.00°
Atoms (fractional coordinates):
Cd (0.000, 0.000, 0.000)
In (0.000, 0.000, 0.457)
In (0.500, 0.500, 0.746)
Co (0.500, 0.500, 0.257)


[6]
## CdIn2Co (PBE-GGA)

Data for an optimized crystal structure of CdIn2Co.

Cell: 3.066 3.066 8.546 Å, 90.00 90.00 90.00°
Atoms (fractional coordinates):
Cd (0.000, 0.000, 0.000)
In (0.500, 0.500, 0.308)
In (0.500, 0.500, 0.692)
Co (0.000, 0.000, 0.500)


[7]
## CdIn2Co (PBE-GGA)

Data for an optimized crystal structure of CdIn2Co.

Cell: 6.974 6.974 6.974 Å, 155.79 142.05 45.52°
Atoms (fractional coordinates):
Cd (0.000, 0.000, 0.000)
In (0.326, 0.826, 0.500)
In (0.674, 0.174, 0.500)
Co (0.500, 0.500, 0.000)


[8]
## CdIn2Co (PBE-GGA)

Data for an optimized crystal structure of CdIn2Co.

Cell: 9.145 9.145 9.145 Å, 20.45 20.45 20.45°
Atoms (fractional coordinates):
Cd (0.000, 0.000, 0.000)
In (0.238, 0.238, 0.238)
In (0.762, 0.762, 0.762)
Co (0.500, 0.500, 0.500)


Quick rundown of ΔE_f, same order as above: 120; 156; 590; 354; 267; 159; 136; 212 meV per atom